Tb6Pr3Tm2Th | PBE-GGA | optimized geometry

Properties
Energy = -4.851 eV/atom
M_tot = 0.000 μB per atom
Formation enthalpy at 0 K = 0.02 eV/atom
SG = C2/m, No. 12

Cell lengths 6.214, 6.214, 11.908 Å; angles 95.00, 95.00, 119.97 degrees
Positions (direct):
Tb1 0.082 0.412 0.244
Tb2 0.248 0.248 0.755
Tb3 0.412 0.082 0.244
Tb4 0.588 0.918 0.756
Tb5 0.752 0.752 0.245
Tb6 0.918 0.588 0.756
Pr1 0.167 0.833 0.500
Pr2 0.500 0.500 0.500
Pr3 0.833 0.167 0.500
Tm1 0.333 0.667 0.000
Tm2 0.667 0.333 0.000
Th1 0.000 0.000 0.000